# PBE-GGA Hf12Ti5W3, relaxed
data_Hf12Ti5W3
_cell_length_a 16.0200
_cell_length_b 16.0200
_cell_length_c 16.0200
_cell_angle_alpha 90.00
_cell_angle_beta 90.00
_cell_angle_gamma 90.00
_symmetry_space_group_name_H-M 'I a -3 d'
_symmetry_Int_Tables_number 230
_symmetry_space_group_name_Hall '-I 4bd 2c 3'
loop_
_atom_site_label
_atom_site_fract_x
_atom_site_fract_y
_atom_site_fract_z
Hf1 0.0117 0.0844 0.6464
Ti1 0.0000 0.0000 0.0000
Ti2 0.0000 0.2500 0.3750
W1 0.0000 0.2500 0.1250
# ΔE_f, eV per atom: 1.2697
# Total energy, eV/atom: -8.6191



# PBE-GGA HfTi3W, relaxed
data_HfTi3W
_cell_length_a 5.6779
_cell_length_b 12.4777
_cell_length_c 5.2392
_cell_angle_alpha 90.00
_cell_angle_beta 90.00
_cell_angle_gamma 90.00
_symmetry_space_group_name_H-M 'C m c m'
_symmetry_Int_Tables_number 63
_symmetry_space_group_name_Hall '-C 2c 2'
loop_
_atom_site_label
_atom_site_fract_x
_atom_site_fract_y
_atom_site_fract_z
Hf1 0.0000 0.0816 0.2500
Ti1 0.0000 0.3155 0.7500
Ti2 0.2460 0.3495 0.2500
W1 0.0000 0.5000 0.0000
# ΔE_f, eV per atom: 0.1869
# Distance to the lowest polymorph of the same formula, meV per atom: 0.0
# Total energy, eV/atom: -9.1313



# PBE-GGA HfTiW14, relaxed
data_HfTiW14
_cell_length_a 6.3650
_cell_length_b 9.0580
_cell_length_c 9.0588
_cell_angle_alpha 90.00
_cell_angle_beta 90.00
_cell_angle_gamma 90.00
_symmetry_space_group_name_H-M 'C m m m'
_symmetry_Int_Tables_number 65
_symmetry_space_group_name_Hall '-C 2 2'
loop_
_atom_site_label
_atom_site_fract_x
_atom_site_fract_y
_atom_site_fract_z
Hf1 0.0000 0.0000 0.0000
Ti1 0.0000 0.5000 0.0000
W1 0.0000 0.0000 0.5000
W2 0.0000 0.2507 0.2500
W3 0.0000 0.5000 0.5000
W4 0.2480 0.5000 0.2555
W5 0.2500 0.2500 0.0000
W6 0.2500 0.2500 0.5000
# ΔE_f, eV per atom: -0.0338
# Total energy, eV/atom: -12.4834



# PBE-GGA HfTi3W, relaxed
data_HfTi3W
_cell_length_a 4.6643
_cell_length_b 4.6643
_cell_length_c 4.6643
_cell_angle_alpha 90.00
_cell_angle_beta 90.00
_cell_angle_gamma 90.00
_symmetry_space_group_name_H-M 'P m -3 m'
_symmetry_Int_Tables_number 221
_symmetry_space_group_name_Hall '-P 4 2 3'
loop_
_atom_site_label
_atom_site_fract_x
_atom_site_fract_y
_atom_site_fract_z
Hf1 0.0000 0.0000 0.0000
Ti1 0.0000 0.0000 0.5000
W1 0.5000 0.5000 0.5000
# ΔE_f, eV per atom: 1.6550
# Distance to the lowest polymorph of the same formula, meV per atom: 1468.1
# Total energy, eV/atom: -7.6633



# PBE-GGA Hf2Ti2W, relaxed
data_Hf2Ti2W
_cell_length_a 6.4104
_cell_length_b 6.4104
_cell_length_c 4.7616
_cell_angle_alpha 90.00
_cell_angle_beta 90.00
_cell_angle_gamma 90.00
_symmetry_space_group_name_H-M 'P 4/m b m'
_symmetry_Int_Tables_number 127
_symmetry_space_group_name_Hall '-P 4 2ab'
loop_
_atom_site_label
_atom_site_fract_x
_atom_site_fract_y
_atom_site_fract_z
Hf1 0.1688 0.3312 0.0000
Ti1 0.1444 0.6444 0.5000
W1 0.0000 0.0000 0.5000
# ΔE_f, eV per atom: 0.2584
# Total energy, eV/atom: -9.4716



# PBE-GGA YHfTi, relaxed
data_YHfTi
_cell_length_a 3.2047
_cell_length_b 5.0021
_cell_length_c 8.7925
_cell_angle_alpha 90.00
_cell_angle_beta 90.06
_cell_angle_gamma 90.00
_symmetry_space_group_name_H-M 'P 1 21/m 1'
_symmetry_Int_Tables_number 11
loop_
_symmetry_equiv_pos_as_xyz
'x,y,z'
'-x,-y,-z'
'-x,y+1/2,-z'
'x,-y+1/2,z'
loop_
_atom_site_label
_atom_site_fract_x
_atom_site_fract_y
_atom_site_fract_z
Y1 0.2496 0.2500 0.1183
Hf1 0.2498 0.2500 0.7283
Ti1 0.2503 0.7500 0.5473
# ΔE_f, eV per atom: 0.1273
# Total energy, eV/atom: -7.9769



# PBE-GGA Y2HfTi2, relaxed
data_Y2HfTi2
_cell_length_a 4.2642
_cell_length_b 4.2642
_cell_length_c 13.3106
_cell_angle_alpha 90.00
_cell_angle_beta 90.00
_cell_angle_gamma 90.00
_symmetry_space_group_name_H-M 'I 4/m m m'
_symmetry_Int_Tables_number 139
_symmetry_space_group_name_Hall '-I 4 2'
loop_
_atom_site_label
_atom_site_fract_x
_atom_site_fract_y
_atom_site_fract_z
Y1 0.0000 0.5000 0.2500
Hf1 0.0000 0.0000 0.0000
Ti1 0.0000 0.0000 0.4180
# ΔE_f, eV per atom: 0.6056
# Distance to the lowest polymorph of the same formula, meV per atom: 257.9
# Total energy, eV/atom: -7.1287



# PBE-GGA YHf3Ti, relaxed
data_YHf3Ti
_cell_length_a 5.0831
_cell_length_b 5.0831
_cell_length_c 5.0831
_cell_angle_alpha 90.00
_cell_angle_beta 90.00
_cell_angle_gamma 90.00
_symmetry_space_group_name_H-M 'P m -3 m'
_symmetry_Int_Tables_number 221
_symmetry_space_group_name_Hall '-P 4 2 3'
loop_
_atom_site_label
_atom_site_fract_x
_atom_site_fract_y
_atom_site_fract_z
Y1 0.0000 0.0000 0.0000
Hf1 0.0000 0.0000 0.5000
Ti1 0.5000 0.5000 0.5000
# ΔE_f, eV per atom: 1.6919
# Distance to the lowest polymorph of the same formula, meV per atom: 1021.9
# Total energy, eV/atom: -7.1520



# PBE-GGA YHfTi2, relaxed
data_YHfTi2
_cell_length_a 7.6858
_cell_length_b 7.6858
_cell_length_c 6.0524
_cell_angle_alpha 90.00
_cell_angle_beta 90.00
_cell_angle_gamma 90.00
_symmetry_space_group_name_H-M 'I -4 2 d'
_symmetry_Int_Tables_number 122
_symmetry_space_group_name_Hall 'I -4 2bw'
loop_
_atom_site_label
_atom_site_fract_x
_atom_site_fract_y
_atom_site_fract_z
Y1 0.0000 0.0000 0.0000
Hf1 0.0000 0.0000 0.5000
Ti1 0.2383 0.2500 0.6250
# ΔE_f, eV per atom: 0.6824
# Distance to the lowest polymorph of the same formula, meV per atom: 523.8
# Total energy, eV/atom: -7.3695



# PBE-GGA Y3HfTi, relaxed
data_Y3HfTi
_cell_length_a 5.2894
_cell_length_b 5.2894
_cell_length_c 5.2894
_cell_angle_alpha 90.00
_cell_angle_beta 90.00
_cell_angle_gamma 90.00
_symmetry_space_group_name_H-M 'P m -3 m'
_symmetry_Int_Tables_number 221
_symmetry_space_group_name_Hall '-P 4 2 3'
loop_
_atom_site_label
_atom_site_fract_x
_atom_site_fract_y
_atom_site_fract_z
Y1 0.0000 0.0000 0.5000
Hf1 0.5000 0.5000 0.5000
Ti1 0.0000 0.0000 0.0000
# ΔE_f, eV per atom: 0.8346
# Distance to the lowest polymorph of the same formula, meV per atom: 0.0
# Total energy, eV/atom: -6.6135



# PBE-GGA Y2HfTi2, relaxed
data_Y2HfTi2
_cell_length_a 8.1124
_cell_length_b 8.1124
_cell_length_c 3.6197
_cell_angle_alpha 90.00
_cell_angle_beta 90.00
_cell_angle_gamma 90.00
_symmetry_space_group_name_H-M 'P 4/m b m'
_symmetry_Int_Tables_number 127
_symmetry_space_group_name_Hall '-P 4 2ab'
loop_
_atom_site_label
_atom_site_fract_x
_atom_site_fract_y
_atom_site_fract_z
Y1 0.1738 0.3262 0.0000
Hf1 0.0000 0.0000 0.5000
Ti1 0.1217 0.6217 0.5000
# ΔE_f, eV per atom: 0.3477
# Distance to the lowest polymorph of the same formula, meV per atom: 0.0
# Total energy, eV/atom: -7.3866



# PBE-GGA YHf3Ti, relaxed
data_YHf3Ti
_cell_length_a 5.0313
_cell_length_b 5.0313
_cell_length_c 5.0313
_cell_angle_alpha 90.00
_cell_angle_beta 90.00
_cell_angle_gamma 90.00
_symmetry_space_group_name_H-M 'P m -3 m'
_symmetry_Int_Tables_number 221
_symmetry_space_group_name_Hall '-P 4 2 3'
loop_
_atom_site_label
_atom_site_fract_x
_atom_site_fract_y
_atom_site_fract_z
Y1 0.0000 0.0000 0.0000
Hf1 0.0000 0.5000 0.5000
Ti1 0.5000 0.5000 0.5000
# ΔE_f, eV per atom: 0.6699
# Distance to the lowest polymorph of the same formula, meV per atom: 0.0
# Total energy, eV/atom: -8.1739